(1)
Compound: SmSbO
Source: the Alexandria database
Functional: PBE-GGA
Structure: optimized geometry

Lattice parameters (Å, degrees): 3.9316 3.9316 10.1593 90.00 90.00 120.00
Element x y z (fractional)
Sm  0.6667  0.3333  0.1458
Sm  0.3333  0.6667  0.8542
Sb  0.6667  0.3333  0.5916
Sb  0.3333  0.6667  0.4084
O  0.6667  0.3333  0.9146
O  0.3333  0.6667  0.0854

Calculated values
**SG**: P-3m1, No. 164
**Total DFT energy (no corrections)**: -6.513 eV/atom
**Crystal system**: trigonal

=====

(2)
Compound: Cs2ScTe2
Source: the Alexandria database
Functional: PBE-GGA
Structure: optimized geometry

Lattice parameters (Å, degrees): 7.2421 8.3600 9.5534 115.95 112.27 90.00
Element x y z (fractional)
Cs  0.8516  0.6896  0.7033
Cs  0.1484  0.3104  0.2967
Cs  0.6484  0.9863  0.2967
Cs  0.3516  0.0137  0.7033
Sc  0.7500  0.5000  0.0000
Sc  0.2500  0.5000  0.0000
Te  0.3988  0.5902  0.7976
Te  0.6012  0.4098  0.2024
Te  0.1012  0.7926  0.2024
Te  0.8988  0.2074  0.7976

Calculated values
**SG**: Ibam, No. 72
**Total DFT energy (no corrections)**: -3.928 eV/atom
**Crystal system**: orthorhombic
**E above lowest polymorph**: 0.0000 eV per atom

=====

(3)
Compound: HgPt2Se
Source: the Alexandria database
Functional: PBE-GGA
Structure: optimized geometry

Lattice parameters (Å, degrees): 3.5035 3.5035 6.2083 90.00 90.00 90.01
Element x y z (fractional)
Hg  0.5000  0.5000  0.7846
Pt  0.0000  0.0000  0.0209
Pt  0.5000  0.5000  0.2806
Se  0.0000  0.0000  0.4139

Calculated values
**SG**: P4mm, No. 99
**Total DFT energy (no corrections)**: -3.918 eV/atom
**Crystal system**: tetragonal